Here is an optimized crystal structure of CdGa6Ag12 from the Alexandria database. Energies are from GGA-PBE.

Output
For the magnetic moment, the calculation gives 0.000 μB per formula unit. The formation energy comes out at 1.07 eV/f.u. For the calculated volume, the calculation gives 19.0 Å³ per atom. As for the density of states at the Fermi level: 0.2121 states/eV per atom. The calculation puts the distance to the lowest polymorph of the same formula at 0.0000 eV/atom. As for the symmetry: R-3 (148). Its total DFT energy (no corrections) is -52.22 eV per cell.

Cell lengths 7.3441, 7.3441, 7.3441 Å; angles 102.82, 102.82, 102.82 degrees
Positions (direct):
Ag 0.3187 0.9675 0.8328
Ag 0.3582 0.8190 0.4535
Ag 0.4535 0.3582 0.8190
Ag 0.6418 0.1810 0.5465
Ag 0.1810 0.5465 0.6418
Ag 0.8190 0.4535 0.3582
Ag 0.6813 0.0325 0.1672
Ag 0.5465 0.6418 0.1810
Ag 0.8328 0.3187 0.9675
Ag 0.1672 0.6813 0.0325
Ag 0.0325 0.1672 0.6813
Ag 0.9675 0.8328 0.3187
Ga 0.7389 0.8318 0.5623
Ga 0.5623 0.7389 0.8318
Ga 0.4377 0.2611 0.1682
Ga 0.2611 0.1682 0.4377
Ga 0.8318 0.5623 0.7389
Ga 0.1682 0.4377 0.2611
Cd 0.0000 0.0000 0.0000